Computed, not measured: GeOsSe3 after structural relaxation at the PBE level of DFT.

Results
For the electronic total energy, the calculation gives -3.787 eV per atom. The value obtained for the density of states at the Fermi level is 1.387 states/eV/atom. As for the volume: 110.2 Å³ per cell. The total magnetization comes out at 0.00 μB/f.u. Its uncorrected formation energy is 1.474 eV per atom.

```
data_GeOsSe3
_chemical_formula_sum 'Ge1 Os1 Se3'
_symmetry_space_group_name_H-M 'P m -3 m'
_symmetry_Int_Tables_number 221
_symmetry_space_group_name_Hall '-P 4 2 3'
_cell_length_a 4.794
_cell_length_b 4.794
_cell_length_c 4.794
_cell_angle_alpha 90.00
_cell_angle_beta 90.00
_cell_angle_gamma 90.00
loop_
_atom_site_label
_atom_site_type_symbol
_atom_site_fract_x
_atom_site_fract_y
_atom_site_fract_z
Ge1 Ge 0.000 0.000 0.000
Os1 Os 0.500 0.500 0.500
Se1 Se 0.000 0.000 0.500
```